HoFeSi2W PBE relaxed; density = 9.213 g/cm3; DOS at the Fermi energy = 0.58 states/eV per atom; crystal system = tetragonal; calculated total energy = -0.5745 Ry/atom
1.0
-1.961 1.961 5.399
1.961 -1.961 5.399
1.961 1.961 -5.399
Ho Fe Si W
1 1 2 1
direct
0.000 0.000 0.000 Ho
0.750 0.250 0.500 Fe
0.388 0.388 0.000 Si
0.612 0.612 0.000 Si
0.250 0.750 0.500 W



BiPbAu3 PBE relaxed; density = 10.673 g/cm3; DOS at the Fermi energy = 0.56 states/eV per atom; crystal system = cubic; energy of formation = 226 kJ/mol of formula units
1.0
5.391 0.000 0.000
0.000 5.391 0.000
0.000 0.000 5.391
Bi Pb Au
1 1 3
direct
0.000 0.000 0.000 Bi
0.500 0.500 0.500 Pb
0.000 0.000 0.500 Au
0.000 0.500 0.000 Au
0.500 0.000 0.000 Au



Ho3Al2BOs3 PBE relaxed; density = 12.027 g/cm3; DOS at the Fermi energy = 0.54 states/eV per atom; crystal system = hexagonal; energy of formation = -228 kJ/mol of formula units
1.0
7.209 0.000 0.000
-3.604 6.243 0.000
0.000 0.000 3.467
Ho Al B Os
3 2 1 3
direct
0.000 0.632 0.000 Ho
0.368 0.368 0.000 Ho
0.632 0.000 0.000 Ho
0.333 0.667 0.500 Al
0.667 0.333 0.500 Al
0.000 0.000 0.000 B
0.000 0.235 0.500 Os
0.235 0.000 0.500 Os
0.765 0.765 0.500 Os



Ag5AsO6 PBE relaxed; density = 7.358 g/cm3; DOS at the Fermi energy = 0.55 states/eV per atom; crystal system = monoclinic; calculated total energy = -0.3251 Ry/atom
1.0
3.001 -5.013 0.000
3.001 5.013 0.000
-2.456 0.000 5.328
Ag As O
5 1 6
direct
0.000 0.000 0.000 Ag
0.176 0.824 0.500 Ag
0.347 0.653 0.000 Ag
0.653 0.347 0.000 Ag
0.824 0.176 0.500 Ag
0.500 0.500 0.500 As
0.182 0.448 0.268 O
0.270 0.270 0.640 O
0.448 0.182 0.268 O
0.552 0.818 0.732 O
0.730 0.730 0.360 O
0.818 0.552 0.732 O



Cs2Tm2MnS6 PBE relaxed; density = 4.542 g/cm3; crystal system = monoclinic; calculated total energy = -0.4032 Ry/atom
1.0
3.330 -5.703 0.000
3.330 5.703 0.000
-2.386 0.000 8.191
Cs Tm Mn S
2 2 1 6
direct
0.171 0.829 0.000 Cs
0.829 0.171 0.000 Cs
0.333 0.667 0.500 Tm
0.667 0.333 0.500 Tm
0.000 0.000 0.500 Mn
0.063 0.363 0.671 S
0.240 0.240 0.332 S
0.363 0.063 0.671 S
0.637 0.937 0.329 S
0.760 0.760 0.668 S
0.937 0.637 0.329 S



AcNd8Ho2 PBE relaxed; density = 7.214 g/cm3; DOS at the Fermi energy = 1.44 states/eV per atom; crystal system = orthorhombic; energy of formation = 127 kJ/mol of formula units
1.0
-2.829 4.289 8.115
2.829 -4.289 8.115
2.829 4.289 -8.115
Ac Nd Ho
1 8 2
direct
0.000 0.000 0.000 Ac
0.153 0.855 0.298 Nd
0.161 0.661 0.500 Nd
0.298 0.500 0.798 Nd
0.443 0.145 0.298 Nd
0.557 0.855 0.702 Nd
0.702 0.500 0.202 Nd
0.839 0.339 0.500 Nd
0.847 0.145 0.702 Nd
0.300 0.300 0.000 Ho
0.700 0.700 0.000 Ho



LiHoGe PBE relaxed; density = 6.705 g/cm3; DOS at the Fermi energy = 0.09 states/eV per atom; crystal system = hexagonal; energy of formation = -207 kJ/mol of formula units
1.0
7.015 0.000 0.000
-3.508 6.076 0.000
0.000 0.000 4.262
Li Ho Ge
3 3 3
direct
0.000 0.233 0.000 Li
0.233 0.000 0.000 Li
0.767 0.767 0.000 Li
0.000 0.574 0.500 Ho
0.426 0.426 0.500 Ho
0.574 0.000 0.500 Ho
0.000 0.000 0.500 Ge
0.333 0.667 0.000 Ge
0.667 0.333 0.000 Ge



La2PrSm2Er2 PBE relaxed; density = 7.316 g/cm3; DOS at the Fermi energy = 1.64 states/eV per atom; crystal system = monoclinic; energy of formation = 17 kJ/mol of formula units
1.0
5.755 -2.564 0.000
5.755 2.564 0.000
-1.133 0.000 8.105
La Pr Sm Er
2 1 2 2
direct
0.142 0.142 0.427 La
0.858 0.858 0.573 La
0.000 0.000 0.000 Pr
0.284 0.284 0.859 Sm
0.716 0.716 0.141 Sm
0.429 0.429 0.285 Er
0.571 0.571 0.715 Er



SrAg2Pd PBE relaxed; density = 7.131 g/cm3; DOS at the Fermi energy = 0.31 states/eV per atom; crystal system = tetragonal; energy of formation = -36 kJ/mol of formula units
1.0
-2.146 2.146 10.356
2.146 -2.146 10.356
2.146 2.146 -10.356
Sr Ag Pd
2 4 2
direct
0.000 0.000 0.000 Sr
0.750 0.250 0.500 Sr
0.179 0.625 0.054 Ag
0.375 0.429 0.554 Ag
0.571 0.125 0.946 Ag
0.875 0.821 0.446 Ag
0.250 0.750 0.500 Pd
0.500 0.500 0.000 Pd



InTeCl PBE relaxed; density = 3.442 g/cm3; crystal system = monoclinic; calculated total energy = -0.2300 Ry/atom
1.0
6.225 -8.745 0.000
6.225 8.745 0.000
-1.735 0.000 7.387
In Te Cl
6 6 6
direct
0.108 0.892 0.750 In
0.248 0.331 0.664 In
0.331 0.248 0.164 In
0.669 0.752 0.836 In
0.752 0.669 0.336 In
0.892 0.108 0.250 In
0.078 0.922 0.250 Te
0.137 0.330 0.976 Te
0.330 0.137 0.476 Te
0.670 0.863 0.524 Te
0.863 0.670 0.024 Te
0.922 0.078 0.750 Te
0.113 0.402 0.444 Cl
0.402 0.113 0.944 Cl
0.482 0.518 0.750 Cl
0.518 0.482 0.250 Cl
0.598 0.887 0.056 Cl
0.887 0.598 0.556 Cl



CaAsIr PBE relaxed; density = 7.772 g/cm3; DOS at the Fermi energy = 0.24 states/eV per atom; crystal system = monoclinic; energy of formation = -211 kJ/mol of formula units
1.0
5.330 -2.172 0.000
5.330 2.172 0.000
-1.618 0.000 5.671
Ca As Ir
2 2 2
direct
0.117 0.117 0.307 Ca
0.883 0.883 0.693 Ca
0.395 0.395 0.230 As
0.605 0.605 0.770 As
0.202 0.202 0.848 Ir
0.798 0.798 0.152 Ir



Pr2LuIn PBE relaxed; density = 7.500 g/cm3; DOS at the Fermi energy = 1.70 states/eV per atom; crystal system = tetragonal; energy of formation = -70 kJ/mol of formula units
1.0
3.634 0.000 0.000
0.000 3.634 0.000
0.000 0.000 9.585
Pr Lu In
2 1 1
direct
0.000 0.000 0.231 Pr
0.000 0.000 0.769 Pr
0.500 0.500 0.500 Lu
0.500 0.500 0.000 In